1.
First-principles (GGA-PBE) data for crystalline LiLuFeW at its relaxed geometry, as listed in OQMD via LeMat-Bulk.

```
data_LiLuFeW
_chemical_formula_sum 'Li1 Lu1 Fe1 W1'
_space_group_name_H-M_alt 'P 1'
_space_group_IT_number 1
_cell_length_a 4.428
_cell_length_b 4.428
_cell_length_c 4.428
_cell_angle_alpha 60.00
_cell_angle_beta 60.00
_cell_angle_gamma 60.00
loop_
_space_group_symop_operation_xyz
'x,y,z'
loop_
_atom_site_label
_atom_site_type_symbol
_atom_site_fract_x
_atom_site_fract_y
_atom_site_fract_z
Li1 Li 0.000 0.000 0.000
Lu1 Lu 0.250 0.250 0.250
Fe1 Fe 0.750 0.750 0.750
W1 W 0.500 0.500 0.500
```

- calculated total energy (eV/atom) = -6.456
- E above lowest polymorph (meV per atom) = 147
- space-group type = F-43m, No. 216
- calculated volume (Å³/atom) = 15.35

2.
First-principles (GGA-PBE) data for crystalline GdTeNO at its relaxed geometry, as listed in OQMD via LeMat-Bulk.

```
data_GdTeNO
_chemical_formula_sum 'Gd2 Te2 N2 O2'
_space_group_name_H-M_alt 'P 1'
_space_group_IT_number 1
_cell_length_a 3.690
_cell_length_b 6.749
_cell_length_c 6.554
_cell_angle_alpha 90.00
_cell_angle_beta 90.00
_cell_angle_gamma 90.00
loop_
_space_group_symop_operation_xyz
'x,y,z'
loop_
_atom_site_label
_atom_site_type_symbol
_atom_site_fract_x
_atom_site_fract_y
_atom_site_fract_z
Gd1 Gd 0.000 0.185 0.000
Gd2 Gd 0.000 0.815 0.500
Te1 Te 0.500 0.223 0.504
Te2 Te 0.500 0.777 0.004
N1 N 0.000 0.131 0.350
N2 N 0.000 0.869 0.850
O1 O 0.500 0.301 0.869
O2 O 0.500 0.699 0.369
```

- calculated total energy (eV/atom) = -6.293
- E above lowest polymorph (meV per atom) = 449
- space-group type = Pmc2_1, No. 26
- calculated volume (Å³/atom) = 20.40

What is the calculated total energy in the second record? -6.293 eV/atom

calculated volume of number 2 (GdTeNO)? 20.40 Å³/atom

Look up the calculated volume of the first one. 15.35 Å³/atom

Please write out number 2 again, unchanged.
First-principles (GGA-PBE) data for crystalline GdTeNO at its relaxed geometry, as listed in OQMD via LeMat-Bulk.

```
data_GdTeNO
_chemical_formula_sum 'Gd2 Te2 N2 O2'
_space_group_name_H-M_alt 'P 1'
_space_group_IT_number 1
_cell_length_a 3.690
_cell_length_b 6.749
_cell_length_c 6.554
_cell_angle_alpha 90.00
_cell_angle_beta 90.00
_cell_angle_gamma 90.00
loop_
_space_group_symop_operation_xyz
'x,y,z'
loop_
_atom_site_label
_atom_site_type_symbol
_atom_site_fract_x
_atom_site_fract_y
_atom_site_fract_z
Gd1 Gd 0.000 0.185 0.000
Gd2 Gd 0.000 0.815 0.500
Te1 Te 0.500 0.223 0.504
Te2 Te 0.500 0.777 0.004
N1 N 0.000 0.131 0.350
N2 N 0.000 0.869 0.850
O1 O 0.500 0.301 0.869
O2 O 0.500 0.699 0.369
```

- calculated total energy (eV/atom) = -6.293
- E above lowest polymorph (meV per atom) = 449
- space-group type = Pmc2_1, No. 26
- calculated volume (Å³/atom) = 20.40